No. 1
Computed, not measured: a geometry-optimized PrHo6Tm2 structure at the PBE level of DFT.

```
PrHo6Tm2
1.0
3.541 0.000 0.000
1.753 9.170 0.000
1.748 3.069 8.659
Pr Ho Tm
1 6 2
direct
0.000 0.000 0.000
0.111 0.444 0.334
0.332 0.336 0.001
0.442 0.777 0.337
0.558 0.223 0.663
0.668 0.664 0.999
0.889 0.556 0.666
0.224 0.888 0.665
0.776 0.112 0.335
```

Properties
Its space-group type is P-1 (2).

***

No. 2
Computed, not measured: a geometry-optimized NaSrMg2 structure at the PBE level of DFT.

```
NaSrMg2
1.0
5.103 0.000 0.000
0.000 5.103 0.000
0.000 0.000 5.148
Na Sr Mg
1 1 2
direct
0.000 0.000 0.000
0.500 0.500 0.000
0.000 0.500 0.500
0.500 0.000 0.500
```

Properties
Its space-group type is P4/mmm (123).

***

no.,D(E_F) (states/eV/f.u.),final energy (eV/f.u.)
1,11.97,-40.994
2,3.24,-5.879